The following is a DFT calculation (PBE-GGA) of an optimized crystal structure of ScSiIr2.

Results
Energy: -7.8040 eV per atom
DOS at the Fermi energy: 2.7 states/eV/f.u.
Magnetic moment: 0.0 μB/f.u.
ΔE_f (raw): -0.435 eV/atom

Lattice parameters (Å, degrees): 2.9644 2.9644 24.4510 90.00 90.00 120.00
Space group R-3m (No. 166, hexagonal axes)
Asymmetric unit:
Sc1 0.0000 0.0000 0.0000
Si1 0.0000 0.0000 0.5000
Ir1 0.0000 0.0000 0.2417